(1)
A relaxed structure of La3GaCu6Si2. Source: Alexandria via LeMat-Bulk, functional GGA-PBE.

Properties
- DFT total energy: -0.3421 Ry/atom
- E_form (uncorrected): -0.22 eV/atom

```
La3GaCu6Si2
1.0
6.1072 0.0000 0.0000
-3.0536 5.2890 0.0000
0.0000 0.0000 7.6007
La Cu Si Ga
3 6 2 1
direct
0.3333 0.6667 0.7422
0.0000 0.0000 0.0000
0.6667 0.3333 0.2578
0.6045 0.8023 0.3730
0.8023 0.6045 0.6270
0.1977 0.3955 0.3730
0.8023 0.1977 0.6270
0.1977 0.8023 0.3730
0.3955 0.1977 0.6270
0.3333 0.6667 0.1290
0.6667 0.3333 0.8710
0.0000 0.0000 0.5000
```


(2)
A relaxed structure of HfP2OF. Source: Alexandria via LeMat-Bulk, functional GGA-PBE.

Properties
- DFT total energy: -0.4191 Ry/atom
- E_form (uncorrected): -0.18 eV/atom
- Energy relative to the lowest polymorph listed for this composition: 6.31 kcal/mol of atoms

```
HfP2OF
1.0
3.8149 0.0000 0.0000
0.0000 3.8149 0.0000
0.0000 0.0000 4.6637
P Hf F O
2 1 1 1
direct
0.0000 0.5000 0.0000
0.5000 0.0000 0.0000
0.5000 0.5000 0.5000
0.0000 0.0000 0.0000
0.0000 0.0000 0.5000
```


(3)
A relaxed structure of Ac6Ag2Rh3. Source: Alexandria via LeMat-Bulk, functional GGA-PBE.

Properties
- E_form: -0.507 eV per atom
- DFT total energy: -0.3874 Ry/atom

```
Ac6Ag2Rh3
1.0
7.2359 0.0000 2.1521
3.6179 6.5285 1.0760
0.2140 0.0000 8.0841
Rh Ag Ac
3 2 6
direct
0.6660 0.6679 0.0000
0.3340 0.3321 0.0000
0.0000 0.0000 0.0000
0.1664 0.6671 0.5000
0.8336 0.3329 0.5000
0.0650 0.3388 0.7880
0.9350 0.6612 0.2120
0.7424 0.0000 0.7892
0.5962 0.3388 0.2120
0.4038 0.6612 0.7880
0.2576 0.0000 0.2108
```


(4)
A relaxed structure of Tb4SmHo. Source: Alexandria via LeMat-Bulk, functional GGA-PBE.

Properties
- E_form: 0.252 eV per atom
- DFT total energy: -0.3222 Ry/atom
- Energy relative to the lowest polymorph listed for this composition: 5.44 kcal/mol of atoms

```
Tb4SmHo
1.0
6.8560 -0.5619 0.0000
-3.0939 6.1439 0.0000
0.0000 0.0000 9.7605
Tb Ho Sm
8 2 2
direct
0.1568 0.3631 0.7500
0.3452 0.6548 0.0701
0.3452 0.6548 0.4299
0.6548 0.3452 0.5701
0.6369 0.8432 0.7500
0.3631 0.1568 0.2500
0.6548 0.3452 0.9299
0.8432 0.6369 0.2500
0.0000 0.0000 0.0000
0.0000 0.0000 0.5000
0.1767 0.8233 0.7500
0.8233 0.1767 0.2500
```


(5)
A relaxed structure of Nd2Er3Sc2. Source: Alexandria via LeMat-Bulk, functional GGA-PBE.

Properties
- E_form: 0.049 eV per atom
- DFT total energy: -0.3732 Ry/atom
- Energy relative to the lowest polymorph listed for this composition: 0.36 kcal/mol of atoms

```
Nd2Er3Sc2
1.0
-0.2329 4.8728 -0.8894
-2.0545 -3.4386 -4.4776
-6.6250 0.4342 4.1133
Nd Er Sc
2 3 2
direct
0.9265 0.8530 0.2765
0.0735 0.1470 0.7235
0.5000 0.0000 0.0000
0.3562 0.7125 0.5710
0.6438 0.2875 0.4290
0.7849 0.5698 0.8587
0.2151 0.4302 0.1413
```


(6)
A relaxed structure of Tm2GaGe3Pt4. Source: Alexandria via LeMat-Bulk, functional GGA-PBE.

Properties
- E_form: -0.869 eV per atom
- DFT total energy: -0.4312 Ry/atom

```
Tm2GaGe3Pt4
1.0
-2.7044 -3.2056 0.4401
3.2357 -2.6817 0.3502
0.0337 1.3868 10.3089
Pt Ge Ga Tm
4 3 1 2
direct
0.5000 0.0000 0.6348
0.0000 0.5000 0.3652
0.0000 0.0000 0.0000
0.5000 0.5000 0.0000
0.0000 0.5000 0.1342
0.5000 0.0000 0.8658
0.0000 0.0000 0.5000
0.5000 0.5000 0.5000
0.0000 0.5000 0.7505
0.5000 0.0000 0.2495
```